(1)
# TiNbVFe

A relaxed TiNbVFe crystal (GGA-PBE, the Alexandria database).

The theoretical density comes out at 7.10 Mg/m³. The formation energy is -69 meV/atom.

The space group is F-43m (No. 216) and the conventional cell measures 6.1401, 6.1401 and 6.1401 Å, with angles of 90.00, 90.00 and 90.00 degrees. The inequivalent atoms are Ti at (0.0000, 0.0000, 0.0000), Nb at (0.0000, 0.0000, 0.5000), V at (0.2500, 0.2500, 0.7500) and Fe at (0.2500, 0.2500, 0.2500).

=====

(2)
# TiNbFeW

A relaxed TiNbFeW crystal (GGA-PBE, the Alexandria database).

The theoretical density comes out at 10.39 Mg/m³. The formation energy is -65 meV/atom.

The space group is F-43m (No. 216) and the conventional cell measures 6.2425, 6.2425 and 6.2425 Å, with angles of 90.00, 90.00 and 90.00 degrees. The inequivalent atoms are Ti at (0.0000, 0.0000, 0.0000), Nb at (0.0000, 0.0000, 0.5000), Fe at (0.2500, 0.2500, 0.2500) and W at (0.2500, 0.2500, 0.7500).

=====

(3)
# NbTl3Fe

A relaxed NbTl3Fe crystal (GGA-PBE, the Alexandria database).

The value obtained for the distance to the lowest polymorph of the same formula is 73.8 meV/atom. The theoretical density comes out at 7.66 Mg/m³. The formation energy is 1279 meV/atom.

The space group is Pm-3m (No. 221) and the conventional cell measures 5.4859, 5.4859 and 5.4859 Å, with angles of 90.00, 90.00 and 90.00 degrees. The inequivalent atoms are Nb at (0.0000, 0.0000, 0.0000), Tl at (0.0000, 0.0000, 0.5000) and Fe at (0.5000, 0.5000, 0.5000).

=====

(4)
# NbTlFe2

A relaxed NbTlFe2 crystal (GGA-PBE, the Alexandria database).

The value obtained for the distance to the lowest polymorph of the same formula is 0.0 meV/atom. The theoretical density comes out at 11.43 Mg/m³. The formation energy is 325 meV/atom.

The space group is Fm-3m (No. 225) and the conventional cell measures 6.1945, 6.1945 and 6.1945 Å, with angles of 90.00, 90.00 and 90.00 degrees. The inequivalent atoms are Nb at (0.0000, 0.0000, 0.0000), Tl at (0.0000, 0.0000, 0.5000) and Fe at (0.2500, 0.2500, 0.2500).

=====

(5)
# NbTlFe2

A relaxed NbTlFe2 crystal (GGA-PBE, the Alexandria database).

The value obtained for the distance to the lowest polymorph of the same formula is 557.0 meV/atom. The theoretical density comes out at 10.11 Mg/m³. The formation energy is 882 meV/atom.

The space group is I-42d (No. 122) and the conventional cell measures 6.8736, 6.8736 and 5.6862 Å, with angles of 90.00, 90.00 and 90.00 degrees. The inequivalent atoms are Nb at (0.0000, 0.0000, 0.0000), Tl at (0.0000, 0.0000, 0.5000) and Fe at (0.2140, 0.7500, 0.1250).

=====

(6)
# Nb2TlFe2

A relaxed Nb2TlFe2 crystal (GGA-PBE, the Alexandria database).

The theoretical density comes out at 10.48 Mg/m³. The formation energy is 181 meV/atom.

The space group is P4/mbm (No. 127) and the conventional cell measures 7.2295, 7.2295 and 3.0432 Å, with angles of 90.00, 90.00 and 90.00 degrees. The inequivalent atoms are Nb at (0.1608, 0.3392, 0.0000), Tl at (0.0000, 0.0000, 0.5000) and Fe at (0.1294, 0.6294, 0.5000).